# 1
Computed, not measured: an optimized crystal structure of SbMoOs2 at the GGA-PBE level of DFT.

Output
SG: Pmmm
E_form (uncorrected): 0.4375 eV per atom
Magnetization: 0.000 μB per cell

Structure (POSCAR):
```
SbMoOs2
1.0
2.9413 0.0000 0.0000
0.0000 3.8883 0.0000
0.0000 0.0000 5.6905
Sb Mo Os
1 1 2
Cartesian
0.0000 0.0000 0.0000
0.0000 0.0000 2.8453
1.4707 1.9441 1.5110
1.4707 1.9441 4.1795
```



# 2
Computed, not measured: an optimized crystal structure of Pm3Nd6Dy2Tl at the GGA-PBE level of DFT.

Output
SG: C2/m
E_form: -0.010 eV per atom
Magnetization: 0.000 μB per cell

Structure (POSCAR):
```
Pm3Nd6Dy2Tl
1.0
3.1316 -5.4514 0.0000
3.1316 5.4514 0.0000
-2.1520 0.0000 11.7066
Pm Nd Dy Tl
3 6 2 1
Cartesian
0.0000 0.0000 0.0000
3.1316 1.8398 0.0000
3.1316 -1.8398 0.0000
1.0550 1.7830 2.9942
-0.0160 0.0000 8.7416
1.0550 -1.7830 2.9942
3.0562 1.7830 8.7124
4.1272 0.0000 2.9650
3.0562 -1.7830 8.7124
2.0556 3.6459 5.8533
2.0556 -3.6459 5.8533
2.0556 0.0000 5.8533
```



# 3
Computed, not measured: an optimized crystal structure of Tm2Cd3Sn3 at the GGA-PBE level of DFT.

Output
SG: Pmmm
E_form: -0.388 eV per atom
Magnetization: 0.000 μB per cell

Structure (POSCAR):
```
Tm2Cd3Sn3
1.0
4.5725 0.0000 0.0000
0.0000 4.7584 0.0000
0.0000 0.0000 8.8695
Tm Cd Sn
2 3 3
Cartesian
0.0000 0.0000 2.1718
0.0000 0.0000 6.6977
0.0000 2.3792 4.4348
2.2862 2.3792 2.3049
2.2862 2.3792 6.5646
0.0000 2.3792 0.0000
2.2862 0.0000 0.0000
2.2862 0.0000 4.4348
```



# 4
Computed, not measured: an optimized crystal structure of CaHo4Ag4 at the GGA-PBE level of DFT.

Output
SG: P4_2/n
E_form: -0.085 eV per atom
Magnetization: 0.000 μB per cell

Structure (POSCAR):
```
CaHo4Ag4
1.0
9.6636 0.0000 0.0000
0.0000 9.6636 0.0000
0.0000 0.0000 5.7042
Ca Ho Ag
2 8 8
Cartesian
2.4159 2.4159 1.4261
7.2477 7.2477 4.2782
0.9577 6.3720 0.8930
1.5402 8.7060 3.7451
3.2916 5.7895 3.7451
3.8741 8.1234 0.8930
5.7895 1.5402 4.8112
6.3720 3.8741 1.9591
8.1234 0.9577 1.9591
8.7060 3.2916 4.8112
0.2706 5.8769 3.7444
1.0451 9.3931 0.8923
3.7867 5.1024 0.8923
4.5612 8.6185 3.7444
5.1024 1.0451 1.9598
5.8769 4.5612 4.8119
8.6185 0.2706 4.8119
9.3931 3.7867 1.9598
```



# 5
Computed, not measured: an optimized crystal structure of Ta3GeSb at the GGA-PBE level of DFT.

Output
SG: Pm-3m
E_form (uncorrected): 1.0604 eV per atom
Magnetization: 0.000 μB per cell

Structure (POSCAR):
```
Ta3GeSb
1.0
4.7745 0.0000 0.0000
0.0000 4.7745 0.0000
0.0000 0.0000 4.7745
Ta Ge Sb
3 1 1
Cartesian
0.0000 0.0000 2.3873
0.0000 2.3873 0.0000
2.3873 0.0000 0.0000
0.0000 0.0000 0.0000
2.3873 2.3873 2.3873
```



# 6
Computed, not measured: an optimized crystal structure of MgAlMoS4 at the GGA-PBE level of DFT.

Output
SG: Imma
E_form (uncorrected): -0.8991 eV per atom
Magnetization: 6.000 μB per cell

Structure (POSCAR):
```
MgAlMoS4
1.0
-3.6312 3.7100 5.1929
3.6312 -3.7100 5.1929
3.6312 3.7100 -5.1929
Mg Al Mo S
2 2 2 8
Cartesian
0.0000 1.8550 1.3286
3.6312 1.8550 3.8643
1.8156 1.8550 -2.5964
1.8156 -1.8550 2.5964
3.6312 0.0000 0.0000
0.0000 0.0000 5.1929
3.6312 -0.2033 2.5065
3.6312 3.5066 -2.5065
1.9507 1.8550 -0.1656
5.3116 1.8550 -0.1656
-1.6804 1.8550 5.3585
1.6804 1.8550 5.3585
0.0000 0.2033 7.6994
0.0000 3.9133 2.6864
```



# 7
Computed, not measured: an optimized crystal structure of BaTcRh2 at the GGA-PBE level of DFT.

Output
SG: Pmm2
E_form: 0.462 eV per atom
Magnetization: 0.000 μB per cell

Structure (POSCAR):
```
BaTcRh2
1.0
2.9178 0.0000 0.0000
0.0000 3.8128 0.0000
0.0000 0.0000 7.3028
Ba Tc Rh
1 1 2
Cartesian
0.0000 0.0000 0.0000
1.4589 1.9064 4.7298
0.0000 0.0000 3.6693
1.4589 1.9064 2.2128
```



# 8
Computed, not measured: an optimized crystal structure of YFeSb2 at the GGA-PBE level of DFT.

Output
SG: Amm2
E_form (uncorrected): -0.1569 eV per atom
Magnetization: 2.647 μB per cell

Structure (POSCAR):
```
YFeSb2
1.0
4.5892 0.0000 0.0000
0.0000 1.8768 5.8408
0.0000 -1.8768 5.8408
Y Fe Sb
1 1 2
Cartesian
0.0000 0.0000 0.0000
2.2946 0.0000 7.2721
0.0000 0.0000 8.4240
2.2946 0.0000 4.7021
```



# 9
Computed, not measured: an optimized crystal structure of FeAs at the GGA-PBE level of DFT.

Output
SG: P6_3/m
E_form: 0.131 eV per atom
Magnetization: 8.074 μB per cell

Structure (POSCAR):
```
FeAs
1.0
9.1455 0.0000 0.0000
-4.5727 7.9202 0.0000
0.0000 0.0000 3.2458
Fe As
6 6
Cartesian
-1.3249 3.6623 0.8114
-0.7387 7.2365 0.8114
2.5092 2.9785 2.4343
2.0636 4.9417 0.8114
5.3114 0.6838 2.4343
5.8976 4.2579 2.4343
-2.4684 5.6874 0.8114
0.8816 2.9388 0.8114
2.9859 0.7060 2.4343
1.5869 7.2143 0.8114
3.6912 4.9814 2.4343
7.0412 2.2329 2.4343
```



# 10
Computed, not measured: an optimized crystal structure of AgW2Au at the GGA-PBE level of DFT.

Output
SG: P4/mmm
E_form: 0.564 eV per atom
Magnetization: 0.000 μB per cell

Structure (POSCAR):
```
AgW2Au
1.0
3.8633 0.0000 0.0000
0.0000 3.8633 0.0000
0.0000 0.0000 4.4473
Ag W Au
1 2 1
Cartesian
0.0000 0.0000 0.0000
0.0000 1.9317 2.2236
1.9317 0.0000 2.2236
1.9317 1.9317 0.0000
```



# 11
Computed, not measured: an optimized crystal structure of RbBiIrI2 at the GGA-PBE level of DFT.

Output
SG: P4/mmm
E_form (uncorrected): 0.9288 eV per atom
Magnetization: 2.372 μB per cell

Structure (POSCAR):
```
RbBiIrI2
1.0
6.0571 0.0000 0.0000
0.0000 6.0571 0.0000
0.0000 0.0000 7.9378
Rb Bi Ir I
1 1 1 2
Cartesian
0.0000 0.0000 0.0000
0.0000 0.0000 3.9689
3.0285 3.0285 0.0000
0.0000 3.0285 3.9689
3.0285 0.0000 3.9689
```



# 12
Computed, not measured: an optimized crystal structure of TbHo7Tl5 at the GGA-PBE level of DFT.

Output
SG: Imm2
E_form: -0.134 eV per atom
Magnetization: 0.067 μB per cell

Structure (POSCAR):
```
TbHo7Tl5
1.0
-3.2456 5.4149 5.3991
3.2456 -5.4149 5.3991
3.2456 5.4149 -5.3991
Tb Ho Tl
1 7 5
Cartesian
0.0000 0.0000 0.0000
3.2456 2.0851 -0.4027
3.2456 0.0000 2.2019
3.2456 -1.7220 5.1681
0.0000 0.0000 3.6804
3.2456 1.7220 5.1681
0.0000 0.0000 7.1093
0.0000 3.3298 4.9963
1.6195 2.5817 2.3643
4.8716 2.5817 2.3643
0.0000 5.4149 2.5715
-1.6261 2.8332 7.7633
1.6261 2.8332 7.7633
```